# 1
# Dy4Te3C

A relaxed Dy4Te3C crystal (PBE-GGA, the Alexandria database).

- calculated total energy (eV per atom) = -5.7070
- symmetry = Cmmm, No. 65
- energy relative to the elements, uncorrected (eV/atom) = -1.075
- relative energy among the computed polymorphs (meV per atom) = 0.0

```
Dy4Te3C
1.0
4.0696 0.0000 0.0000
0.0000 6.9927 -2.3688
0.0000 -0.0433 7.3829
C Te Dy
1 3 4
direct
0.5000 0.0000 0.0000
0.0000 0.0000 0.5000
0.5000 0.5000 0.5000
0.0000 0.5000 0.0000
0.0000 0.1994 0.1994
0.5000 0.7930 0.2070
0.0000 0.8006 0.8006
0.5000 0.2070 0.7930
```


# 2
# Dy5Te5C

A relaxed Dy5Te5C crystal (PBE-GGA, the Alexandria database).

- calculated total energy (eV per atom) = -5.5075
- symmetry = C2/m, No. 12
- energy relative to the elements, uncorrected (eV/atom) = -1.149

```
Dy5Te5C
1.0
6.0161 0.0000 0.0000
-3.0080 6.6901 -0.1165
0.0000 -2.6452 7.9862
Dy Te C
5 5 1
direct
0.8566 0.7133 0.1389
0.8600 0.7200 0.7152
0.5000 0.0000 0.0000
0.1400 0.2800 0.2848
0.1434 0.2867 0.8611
0.6800 0.3600 0.3343
0.6593 0.3186 0.8136
0.0000 0.0000 0.5000
0.3407 0.6814 0.1864
0.3200 0.6400 0.6657
0.0000 0.0000 0.0000
```


# 3
# DyTmTeC

A relaxed DyTmTeC crystal (PBE-GGA, the Alexandria database).

- calculated total energy (eV per atom) = -6.1996
- symmetry = R3m, No. 160
- energy relative to the elements, uncorrected (eV/atom) = -0.840

```
DyTmTeC
1.0
-0.1412 -1.8001 3.3211
-2.5732 -0.7488 -2.6666
5.1055 -3.6355 -3.9046
Dy Tm Te C
1 1 1 1
direct
0.5128 0.1543 0.6824
0.0923 0.9441 0.0517
0.9662 0.3812 0.3624
0.3066 0.5511 0.8732
```


# 4
# DyUTe2C

A relaxed DyUTe2C crystal (PBE-GGA, the Alexandria database).

- calculated total energy (eV per atom) = -7.0348
- symmetry = P4/nmm, No. 129
- energy relative to the elements, uncorrected (eV/atom) = -0.755

```
DyUTe2C
1.0
-3.2260 -2.4490 -0.2426
2.1596 -3.0089 1.6570
-4.6235 4.6557 14.4805
Dy U Te C
2 2 4 2
direct
0.5000 0.0000 0.1362
0.0000 0.5000 0.8638
0.5000 0.0000 0.5692
0.0000 0.5000 0.4308
0.0000 0.5000 0.6776
0.0000 0.5000 0.0823
0.5000 0.0000 0.9177
0.5000 0.0000 0.3224
0.0000 0.0000 0.5000
0.5000 0.5000 0.5000
```


# 5
# DyYTeC

A relaxed DyYTeC crystal (PBE-GGA, the Alexandria database).

- calculated total energy (eV per atom) = -6.6914
- symmetry = R3m, No. 160
- energy relative to the elements, uncorrected (eV/atom) = -0.833

```
DyYTeC
1.0
-0.2737 1.3155 -3.5749
-1.6359 -3.3200 0.9434
-5.2506 3.6658 3.7906
Dy Y Te C
1 1 1 1
direct
0.0923 0.9441 0.0517
0.5112 0.1536 0.6800
0.9687 0.3825 0.3661
0.3057 0.5506 0.8718
```


# 6
# DyThC

A relaxed DyThC crystal (PBE-GGA, the Alexandria database).

- calculated total energy (eV per atom) = -7.3135
- symmetry = P3m1, No. 156
- energy relative to the elements (meV/atom) = -232
- relative energy among the computed polymorphs (meV per atom) = 20.2

```
DyThC
1.0
3.5992 0.0000 0.0000
-1.7996 3.1170 0.0000
0.0000 0.0000 6.4139
C Th Dy
1 1 1
direct
0.6667 0.3333 0.3281
0.3333 0.6667 0.5538
0.0000 0.0000 0.1181
```


# 7
# DyThC

A relaxed DyThC crystal (PBE-GGA, the Alexandria database).

- calculated total energy (eV per atom) = -7.3337
- symmetry = Cm, No. 8
- energy relative to the elements (meV/atom) = -252
- relative energy among the computed polymorphs (meV per atom) = 0.0

```
DyThC
1.0
3.5283 0.0433 0.7872
1.6363 3.1262 0.7872
0.3576 0.2194 6.6210
Dy Th C
1 1 1
direct
0.0970 0.0970 0.8569
0.6167 0.6167 0.3007
0.3600 0.3600 0.0696
```


# 8
# DyThC2

A relaxed DyThC2 crystal (PBE-GGA, the Alexandria database).

- calculated total energy (eV per atom) = -7.5719
- symmetry = R3m, No. 160
- energy relative to the elements (meV/atom) = 46
- relative energy among the computed polymorphs (meV per atom) = 164.8

```
DyThC2
1.0
-0.2533 2.3007 2.8333
1.3145 -0.9757 3.2719
5.7783 2.8413 0.5713
Dy Th C
1 1 2
direct
0.4963 0.4963 0.5111
0.6669 0.6669 0.9993
0.0831 0.0831 0.7506
0.2537 0.2537 0.2390
```


# 9
# DyThC2

A relaxed DyThC2 crystal (PBE-GGA, the Alexandria database).

- calculated total energy (eV per atom) = -7.4432
- symmetry = C2/m, No. 12
- energy relative to the elements (meV/atom) = 174
- relative energy among the computed polymorphs (meV per atom) = 293.5

```
DyThC2
1.0
-1.9900 -0.9962 -2.8588
3.4780 0.9196 -0.4458
1.6787 -5.9958 0.9208
Dy Th C
1 1 2
direct
0.0000 0.5000 0.0000
0.0000 0.5000 0.5000
0.6666 0.8333 0.7433
0.3334 0.1667 0.2567
```


# 10
# DyTh5C6

A relaxed DyTh5C6 crystal (PBE-GGA, the Alexandria database).

- calculated total energy (eV per atom) = -8.3335
- symmetry = C2/m, No. 12
- energy relative to the elements (meV/atom) = -246

```
DyTh5C6
1.0
-4.0955 -4.1614 -2.8493
4.7077 2.8194 -3.4780
3.5684 -4.1885 3.4583
C Th Dy
6 5 1
direct
0.4202 0.0839 0.2517
0.9161 0.5798 0.7483
0.2531 0.2531 0.7496
0.7469 0.7469 0.2504
0.0839 0.4202 0.2517
0.5798 0.9161 0.7483
0.8343 0.1657 0.5000
0.6670 0.3330 0.0000
0.5000 0.5000 0.5000
0.3330 0.6670 0.0000
0.1657 0.8343 0.5000
0.0000 0.0000 0.0000
```


# 11
# DyTh2C2

A relaxed DyTh2C2 crystal (PBE-GGA, the Alexandria database).

- calculated total energy (eV per atom) = -7.8296
- symmetry = C2/m, No. 12
- energy relative to the elements (meV/atom) = -252
- relative energy among the computed polymorphs (meV per atom) = 0.0

```
DyTh2C2
1.0
5.3547 0.0000 0.0000
-2.6774 5.3807 -2.3480
0.0000 0.4347 7.3644
Dy Th C
2 4 4
direct
0.3430 0.6859 0.9079
0.6570 0.3141 0.0921
0.6658 0.3316 0.5825
0.3342 0.6684 0.4175
0.0062 0.0124 0.7437
0.9938 0.9876 0.2563
0.1600 0.3200 0.5801
0.8400 0.6800 0.4199
0.5035 0.0069 0.2514
0.4965 0.9931 0.7486
```


# 12
# Dy2ThC

A relaxed Dy2ThC crystal (PBE-GGA, the Alexandria database).

- calculated total energy (eV per atom) = -6.5165
- symmetry = R-3m, No. 166
- energy relative to the elements (meV/atom) = -55

```
Dy2ThC
1.0
-0.8308 -3.0203 -1.5638
1.8051 -2.9078 0.7378
-5.9875 -4.0347 7.0546
C Th Dy
1 1 2
direct
0.5000 0.5000 0.5000
0.0000 0.0000 0.0000
0.1209 0.1209 0.6372
0.8791 0.8791 0.3628
```